# ZnRuPb2

A geometry-optimized ZnRuPb2 structure (PBE, the Alexandria database).

Unit cell a=7.800 b=4.943 c=3.415 alpha=90.18 beta=63.78 gamma=129.52
Positions (direct):
Zn: 0.500 0.500 0.000
Ru: 0.000 0.500 0.500
Pb: 0.500 0.000 0.500
Pb: 0.000 0.000 0.000

Calculated values
Raw total energy   -16.1 eV/cell
ΔH_f (0 K)   0.464 eV per atom
Fermi-level density of states   3.2 states/eV/cell
Total magnetization   0.000 μB per formula unit

---

# ZnRuPb2

A geometry-optimized ZnRuPb2 structure (PBE, the Alexandria database).

Unit cell a=3.328 b=3.328 c=8.076 alpha=90.00 beta=90.00 gamma=90.00
Positions (direct):
Ru: 0.000 0.000 0.550
Pb: 0.000 0.000 0.938
Pb: 0.500 0.500 0.324
Zn: 0.500 0.500 0.688

Calculated values
Raw total energy   -17.1 eV/cell
ΔH_f (0 K)   0.213 eV per atom
Fermi-level density of states   4.3 states/eV/cell
Total magnetization   0.000 μB per formula unit

---

# ZnRuPb3

A geometry-optimized ZnRuPb3 structure (PBE, the Alexandria database).

Unit cell a=5.268 b=5.268 c=5.268 alpha=90.00 beta=90.00 gamma=90.00
Last column: magnetic moment on the atom in μB.
Positions (direct):
Pb: 0.000 0.000 0.500  -0.04
Ru: 0.500 0.500 0.500  2.00
Pb: 0.000 0.500 0.000  -0.04
Zn: 0.000 0.000 0.000  -0.01
Pb: 0.500 0.000 0.000  -0.02

Calculated values
Raw total energy   -16.3 eV/cell
ΔH_f (0 K)   1.075 eV per atom
Energy above the lowest structure with this stoichiometry   695 meV per atom
Fermi-level density of states   4.6 states/eV/cell
Total magnetization   1.983 μB per formula unit

---

# ZnRu2Pb

A geometry-optimized ZnRu2Pb structure (PBE, the Alexandria database).

Unit cell a=4.329 b=2.971 c=5.360 alpha=86.94 beta=90.00 gamma=90.00
Positions (direct):
Zn: 0.500 0.250 0.250
Pb: 0.500 0.750 0.750
Ru: 0.000 0.507 0.457
Ru: 0.000 0.993 0.043

Calculated values
Raw total energy   -21.8 eV/cell
ΔH_f (0 K)   0.430 eV per atom
Fermi-level density of states   3.8 states/eV/cell
Total magnetization   0.002 μB per formula unit

---

# ZrRu2Pb

A geometry-optimized ZrRu2Pb structure (PBE, the Alexandria database).

Unit cell a=3.627 b=3.627 c=5.698 alpha=90.00 beta=90.00 gamma=90.00
Last column: magnetic moment on the atom in μB.
Positions (direct):
Zr: 0.000 0.000 0.453  -0.01
Ru: 0.500 0.500 0.283  0.04
Pb: 0.500 0.500 0.784  0.00
Ru: 0.000 0.000 0.980  0.59

Calculated values
Raw total energy   -30.2 eV/cell
ΔH_f (0 K)   0.147 eV per atom
Fermi-level density of states   2.8 states/eV/cell
Total magnetization   0.652 μB per formula unit

---

# ZrRuPb2

A geometry-optimized ZrRuPb2 structure (PBE, the Alexandria database).

Unit cell a=4.520 b=3.322 c=5.919 alpha=81.29 beta=90.00 gamma=90.00
Positions (direct):
Pb: 0.000 0.429 0.487
Zr: 0.500 0.750 0.750
Pb: 0.000 0.071 0.013
Ru: 0.500 0.250 0.250

Calculated values
Raw total energy   -24.4 eV/cell
ΔH_f (0 K)   0.210 eV per atom
Energy above the lowest structure with this stoichiometry   289 meV per atom
Fermi-level density of states   3.2 states/eV/cell
Total magnetization   0.000 μB per formula unit

---

# ZrRuPb2

A geometry-optimized ZrRuPb2 structure (PBE, the Alexandria database).

Unit cell a=3.376 b=3.332 c=8.835 alpha=78.29 beta=90.00 gamma=90.00
Positions (direct):
Zr: 0.500 0.837 0.694
Pb: 0.000 0.195 0.955
Pb: 0.500 0.048 0.313
Ru: 0.000 0.420 0.538

Calculated values
Raw total energy   -25.6 eV/cell
ΔH_f (0 K)   -0.079 eV per atom
Energy above the lowest structure with this stoichiometry   0 meV per atom
Fermi-level density of states   2.8 states/eV/cell
Total magnetization   0.000 μB per formula unit

---

# ZrRuPb2

A geometry-optimized ZrRuPb2 structure (PBE, the Alexandria database).

Unit cell a=5.864 b=5.864 c=5.343 alpha=62.89 beta=62.89 gamma=33.11
Positions (direct):
Pb: 0.026 0.026 0.974
Pb: 0.474 0.474 0.526
Ru: 0.750 0.750 0.750
Zr: 0.250 0.250 0.250

Calculated values
Raw total energy   -24.4 eV/cell
ΔH_f (0 K)   0.200 eV per atom
Energy above the lowest structure with this stoichiometry   280 meV per atom
Fermi-level density of states   3.9 states/eV/cell
Total magnetization   0.000 μB per formula unit

---

# ZrRuPb2

A geometry-optimized ZrRuPb2 structure (PBE, the Alexandria database).

Unit cell a=3.362 b=3.361 c=7.483 alpha=90.00 beta=90.00 gamma=90.00
Positions (direct):
Pb: 0.000 0.000 0.028
Zr: 0.500 0.500 0.750
Pb: 0.000 0.000 0.472
Ru: 0.500 0.500 0.250

Calculated values
Raw total energy   -24.5 eV/cell
ΔH_f (0 K)   0.180 eV per atom
Energy above the lowest structure with this stoichiometry   260 meV per atom
Fermi-level density of states   1.8 states/eV/cell
Total magnetization   0.000 μB per formula unit

---

# ZrRu2Pb

A geometry-optimized ZrRu2Pb structure (PBE, the Alexandria database).

Unit cell a=7.229 b=7.229 c=5.951 alpha=52.60 beta=52.60 gamma=90.00
Positions (direct):
Ru: 0.875 0.856 0.750
Pb: 0.000 0.000 0.000
Pb: 0.750 0.250 0.500
Ru: 0.144 0.625 0.250
Zr: 0.500 0.500 0.000
Ru: 0.606 0.125 0.250
Zr: 0.250 0.750 0.500
Ru: 0.375 0.394 0.750

Calculated values
Raw total energy   -57.5 eV/cell
ΔH_f (0 K)   0.509 eV per atom
Fermi-level density of states   7.7 states/eV/cell
Total magnetization   0.000 μB per formula unit

---

# ZrRuPb

A geometry-optimized ZrRuPb structure (PBE, the Alexandria database).

Unit cell a=4.575 b=4.575 c=4.575 alpha=60.00 beta=60.00 gamma=60.00
Positions (direct):
Pb: 0.500 0.500 0.500
Zr: 0.000 0.000 0.000
Ru: 0.750 0.750 0.750

Calculated values
Raw total energy   -21.7 eV/cell
ΔH_f (0 K)   -0.042 eV per atom
Fermi-level density of states   4.7 states/eV/cell
Total magnetization   0.000 μB per formula unit

---

# ZrRu4Pb

A geometry-optimized ZrRu4Pb structure (PBE, the Alexandria database).

Unit cell a=5.245 b=5.245 c=5.245 alpha=60.00 beta=60.00 gamma=60.00
Positions (direct):
Ru: 0.375 0.375 0.375
Ru: 0.375 0.876 0.375
Zr: 0.750 0.750 0.750
Ru: 0.876 0.375 0.375
Pb: 0.000 0.000 0.000
Ru: 0.375 0.375 0.876

Calculated values
Raw total energy   -48.8 eV/cell
ΔH_f (0 K)   0.087 eV per atom
Fermi-level density of states   8.1 states/eV/cell
Total magnetization   0.000 μB per formula unit